[1]
DFT (meta-GGA SCAN) results for a crystal of BiSbNF2 relaxed with PBEsol.

Computed properties:
- symmetry = P4/mmm
- uncorrected formation energy (meV/atom) = -221
- M_tot (Bohr magnetons per cell) = 0.00
- D(E_F) (states/eV/cell) = 2.67

Cell lengths 4.458, 4.458, 4.523 Å; angles 90.00, 90.00, 90.00 degrees
Sites, in units of the cell vectors:
Bi1 0.000 0.000 0.000
Sb1 0.500 0.500 0.500
N1 0.000 0.000 0.500
F1 0.000 0.500 0.000
F2 0.500 0.000 0.000

[2]
DFT (meta-GGA SCAN) results for a crystal of ScTlMo relaxed with PBEsol.

Computed properties:
- DFT formation energy (eV/atom) = 0.313
- symmetry = P3m1
- E above lowest polymorph (kJ per mole of atoms) = 7.45
- M_tot (Bohr magnetons per cell) = 0.00
- D(E_F) (states/eV/cell) = 2.46

Cell lengths 4.814, 4.814, 2.886 Å; angles 90.00, 90.00, 120.00 degrees
Sites, in units of the cell vectors:
Sc1 0.000 0.000 0.000
Tl1 0.667 0.333 0.414
Mo1 0.333 0.667 0.613

[3]
DFT (meta-GGA SCAN) results for a crystal of SiSb2P relaxed with PBEsol.

Computed properties:
- symmetry = Imm2
- uncorrected formation energy (meV/atom) = 426
- E above lowest polymorph (kJ per mole of atoms) = 3.30
- M_tot (Bohr magnetons per cell) = 0.00
- D(E_F) (states/eV/cell) = 3.64

Cell lengths 3.364, 4.788, 10.381 Å; angles 90.00, 90.00, 90.00 degrees
Sites, in units of the cell vectors:
Si1 0.000 0.000 0.000
Si2 0.500 0.500 0.500
Sb1 0.000 0.000 0.453
Sb2 0.000 0.500 0.258
Sb3 0.500 0.000 0.758
Sb4 0.500 0.500 0.953
P1 0.000 0.500 0.655
P2 0.500 0.000 0.155

[4]
DFT (meta-GGA SCAN) results for a crystal of KMnZn2 relaxed with PBEsol.

Computed properties:
- DFT formation energy (eV/atom) = 0.268
- symmetry = Pmm2
- E above lowest polymorph (kJ per mole of atoms) = 0.00
- M_tot (Bohr magnetons per cell) = 4.21
- D(E_F) (states/eV/cell) = 2.94

Cell lengths 2.788, 3.940, 7.544 Å; angles 90.00, 90.00, 90.00 degrees
Sites, in units of the cell vectors:
K1 0.000 0.000 0.000
Mn1 0.500 0.500 0.349
Zn1 0.000 0.000 0.478
Zn2 0.500 0.500 0.681

[5]
DFT (meta-GGA SCAN) results for a crystal of CrAsPb2 relaxed with PBEsol.

Computed properties:
- DFT formation energy (eV/atom) = 0.152
- symmetry = Cm
- M_tot (Bohr magnetons per cell) = 7.01
- D(E_F) (states/eV/cell) = 3.62

Cell lengths 11.243, 3.402, 5.088 Å; angles 90.00, 111.05, 90.00 degrees
Sites, in units of the cell vectors:
Cr1 0.000 0.000 0.000
Cr2 0.500 0.500 0.000
As1 0.162 0.500 0.236
As2 0.662 0.000 0.236
Pb1 0.235 0.000 0.798
Pb2 0.446 0.000 0.465
Pb3 0.735 0.500 0.798
Pb4 0.946 0.500 0.465

[6]
DFT (meta-GGA SCAN) results for a crystal of GeRhN2 relaxed with PBEsol.

Computed properties:
- symmetry = R-3m
- uncorrected formation energy (meV/atom) = 354
- M_tot (Bohr magnetons per cell) = 0.00
- D(E_F) (states/eV/cell) = 5.88

Cell lengths 2.877, 2.877, 18.059 Å; angles 90.00, 90.00, 120.00 degrees
Sites, in units of the cell vectors:
Ge1 0.000 0.000 0.000
Ge2 0.333 0.667 0.667
Ge3 0.667 0.333 0.333
Rh1 0.000 0.000 0.500
Rh2 0.333 0.667 0.167
Rh3 0.667 0.333 0.833
N1 0.000 0.000 0.394
N2 0.000 0.000 0.606
N3 0.333 0.667 0.060
N4 0.333 0.667 0.273
N5 0.667 0.333 0.727
N6 0.667 0.333 0.940

[7]
DFT (meta-GGA SCAN) results for a crystal of TaBrCl2 relaxed with PBEsol.

Computed properties:
- symmetry = Pm
- uncorrected formation energy (meV/atom) = -863
- E above lowest polymorph (kJ per mole of atoms) = 0.00
- M_tot (Bohr magnetons per cell) = 0.00
- D(E_F) (states/eV/cell) = 0.89

Cell lengths 6.141, 3.260, 6.214 Å; angles 90.00, 119.45, 90.00 degrees
Sites, in units of the cell vectors:
Ta1 0.000 0.000 0.000
Br1 0.302 0.500 0.317
Cl1 0.627 0.000 0.995
Cl2 0.997 0.500 0.713

[8]
DFT (meta-GGA SCAN) results for a crystal of YRhW2 relaxed with PBEsol.

Computed properties:
- DFT formation energy (eV/atom) = 0.201
- symmetry = Immm
- E above lowest polymorph (kJ per mole of atoms) = 14.82
- M_tot (Bohr magnetons per cell) = 0.00
- D(E_F) (states/eV/cell) = 8.23

Cell lengths 3.246, 4.390, 9.731 Å; angles 90.00, 90.00, 90.00 degrees
Sites, in units of the cell vectors:
Y1 0.000 0.000 0.000
Y2 0.500 0.500 0.500
Rh1 0.000 0.000 0.500
Rh2 0.500 0.500 0.000
W1 0.000 0.500 0.240
W2 0.000 0.500 0.760
W3 0.500 0.000 0.260
W4 0.500 0.000 0.740

[9]
DFT (meta-GGA SCAN) results for a crystal of PtAu2 relaxed with PBEsol.

Computed properties:
- DFT formation energy (eV/atom) = 0.098
- symmetry = Cmcm
- E above lowest polymorph (kJ per mole of atoms) = 3.60
- M_tot (Bohr magnetons per cell) = 0.00
- D(E_F) (states/eV/cell) = 4.82

Cell lengths 2.815, 14.577, 4.762 Å; angles 90.00, 90.00, 90.00 degrees
Sites, in units of the cell vectors:
Pt1 0.000 0.110 0.250
Pt2 0.000 0.890 0.750
Pt3 0.500 0.390 0.750
Pt4 0.500 0.610 0.250
Au1 0.000 0.224 0.750
Au2 0.000 0.443 0.250
Au3 0.000 0.557 0.750
Au4 0.000 0.776 0.250
Au5 0.500 0.057 0.750
Au6 0.500 0.276 0.250
Au7 0.500 0.724 0.750
Au8 0.500 0.943 0.250

[10]
DFT (meta-GGA SCAN) results for a crystal of Re2SiAg relaxed with PBEsol.

Computed properties:
- symmetry = P4/mmm
- uncorrected formation energy (meV/atom) = 347
- M_tot (Bohr magnetons per cell) = 0.00
- D(E_F) (states/eV/cell) = 3.16

Cell lengths 2.941, 2.941, 6.630 Å; angles 90.00, 90.00, 90.00 degrees
Sites, in units of the cell vectors:
Re1 0.000 0.000 0.208
Re2 0.000 0.000 0.792
Si1 0.500 0.500 0.000
Ag1 0.500 0.500 0.500

[11]
DFT (meta-GGA SCAN) results for a crystal of Zr3Co4 relaxed with PBEsol.

Computed properties:
- DFT formation energy (eV/atom) = -0.230
- symmetry = R-3
- M_tot (Bohr magnetons per cell) = 3.47
- D(E_F) (states/eV/cell) = 7.27

Cell lengths 6.899, 6.899, 6.899 Å; angles 113.83, 113.83, 113.83 degrees
Sites, in units of the cell vectors:
Zr1 0.010 0.263 0.402
Zr2 0.263 0.402 0.010
Zr3 0.402 0.010 0.263
Zr4 0.598 0.990 0.737
Zr5 0.737 0.598 0.990
Zr6 0.990 0.737 0.598
Co1 0.000 0.000 0.000
Co2 0.077 0.542 0.240
Co3 0.240 0.077 0.542
Co4 0.458 0.760 0.923
Co5 0.500 0.500 0.500
Co6 0.542 0.240 0.077
Co7 0.760 0.923 0.458
Co8 0.923 0.458 0.760

[12]
DFT (meta-GGA SCAN) results for a crystal of SiTcSbI2 relaxed with PBEsol.

Computed properties:
- symmetry = P4/mmm
- uncorrected formation energy (meV/atom) = 1172
- E above lowest polymorph (kJ per mole of atoms) = 13.58
- M_tot (Bohr magnetons per cell) = 4.57
- D(E_F) (states/eV/cell) = 2.11

Cell lengths 5.265, 5.265, 5.391 Å; angles 90.00, 90.00, 90.00 degrees
Sites, in units of the cell vectors:
Si1 0.000 0.000 0.000
Tc1 0.500 0.500 0.500
Sb1 0.000 0.000 0.500
I1 0.000 0.500 0.000
I2 0.500 0.000 0.000